No. 1
4
Lattice="1.558 -2.205 0.000 1.558 2.205 0.000 0.000 0.000 8.826" Properties=species:S:1:pos:R:3 comment="PBE Fe2ReHg, relaxed" magmom_total_mub_per_atom=1.28 formation_enthalpy_0k_ev_per_atom=0.473 energy_ev_per_atom=-6.95 crystal_system=orthorhombic pbc="T T T"
Fe 0.000 0.000 0.000
Fe 1.558 0.000 1.876
Re 1.558 0.000 6.826
Hg 0.000 0.000 4.230

---

No. 2
4
Lattice="2.874 -4.248 0.000 2.874 4.248 0.000 0.000 0.000 2.829" Properties=species:S:1:pos:R:3 comment="PBE FeReHg2, relaxed" magmom_total_mub_per_atom=0.85 formation_enthalpy_0k_ev_per_atom=0.776 energy_ev_per_atom=-4.60 crystal_system=orthorhombic pbc="T T T"
Fe 0.000 0.000 0.000
Re 2.874 0.000 0.000
Hg 1.437 2.124 1.414
Hg 1.437 -2.124 1.414

---

No. 3
4
Lattice="1.596 -2.183 0.000 1.596 2.183 0.000 0.000 0.000 8.643" Properties=species:S:1:pos:R:3 comment="PBE Fe2ReHg, relaxed" magmom_total_mub_per_atom=1.23 formation_enthalpy_0k_ev_per_atom=0.396 energy_ev_per_atom=-7.02 crystal_system=orthorhombic pbc="T T T"
Fe 0.000 0.000 1.993
Fe 0.000 0.000 6.650
Re 1.596 0.000 0.000
Hg 1.596 0.000 4.321

---

No. 4
4
Lattice="2.761 0.000 0.000 0.000 2.761 0.000 0.000 0.000 7.642" Properties=species:S:1:pos:R:3 comment="PBE Fe2ReHg, relaxed" magmom_total_mub_per_atom=0.80 formation_enthalpy_0k_ev_per_atom=0.347 energy_ev_per_atom=-7.07 crystal_system=tetragonal pbc="T T T"
Fe 0.000 0.000 1.717
Fe 0.000 0.000 5.925
Re 1.381 1.381 0.000
Hg 1.381 1.381 3.821

---

No. 5
4
Lattice="0.000 3.097 3.097 3.097 0.000 3.097 3.097 3.097 0.000" Properties=species:S:1:pos:R:3 comment="PBE Fe2ReHg, relaxed" magmom_total_mub_per_atom=0.99 formation_enthalpy_0k_ev_per_atom=0.733 energy_ev_per_atom=-6.69 crystal_system=cubic pbc="T T T"
Fe 0.000 0.000 0.000
Fe 1.549 1.549 1.549
Re 3.097 3.097 3.097
Hg 4.646 4.646 4.646

---

No. 6
4
Lattice="4.517 -1.394 0.000 4.517 1.394 0.000 -1.046 0.000 4.642" Properties=species:S:1:pos:R:3 comment="PBE Fe2ReHg, relaxed" magmom_total_mub_per_atom=1.01 formation_enthalpy_0k_ev_per_atom=0.503 energy_ev_per_atom=-6.92 crystal_system=monoclinic pbc="T T T"
Fe 0.000 0.000 0.000
Fe 6.337 0.000 1.138
Re 3.825 0.000 2.002
Hg 1.382 0.000 3.490

---

No. 7
4
Lattice="0.000 3.062 3.062 3.062 0.000 3.062 3.062 3.062 0.000" Properties=species:S:1:pos:R:3 comment="PBE Fe2ReHg, relaxed" magmom_total_mub_per_atom=0.90 formation_enthalpy_0k_ev_per_atom=0.626 energy_ev_per_atom=-6.79 crystal_system=cubic pbc="T T T"
Fe 1.531 1.531 1.531
Fe 4.593 4.593 4.593
Re 0.000 0.000 0.000
Hg 3.062 3.062 3.062

---

No. 8
4
Lattice="2.830 0.000 0.000 0.000 2.830 0.000 0.000 0.000 8.610" Properties=species:S:1:pos:R:3 comment="PBE FeReHg2, relaxed" magmom_total_mub_per_atom=0.88 formation_enthalpy_0k_ev_per_atom=0.803 energy_ev_per_atom=-4.58 crystal_system=tetragonal pbc="T T T"
Fe 0.000 0.000 0.000
Re 0.000 0.000 4.305
Hg 1.415 1.415 2.061
Hg 1.415 1.415 6.549

---

no.,DOS at the Fermi energy (states/eV/f.u.),calculated density (g/cm³)
1,3.1,13.6
2,2.2,15.5
3,2.7,13.7
4,4.1,14.2
5,3.9,13.9
6,3.8,14.2
7,3.5,14.4
8,2.9,15.5